Entry from the Open Quantum Materials Database: a relaxed B2Os crystal (GGA-PBE).

```
B2Os
1.0
2.983 0.000 0.000
-1.492 2.584 0.000
0.000 0.000 3.431
Os B
1 2
Direct
0.000 0.000 0.000
0.667 0.333 0.500
0.333 0.667 0.500
```

Calculated values
Total energy: -7.6645 eV per atom

=====

Entry from the Open Quantum Materials Database: a relaxed B2Os crystal (GGA-PBE).

```
B2Os
1.0
0.000 2.973 2.973
2.973 0.000 2.973
2.973 2.973 0.000
Os B
2 4
Direct
0.000 0.000 0.000
0.250 0.250 0.250
0.625 0.625 0.125
0.625 0.125 0.625
0.125 0.625 0.625
0.625 0.625 0.625
```

Calculated values
Total energy: -7.1517 eV per atom

=====

Entry from the Open Quantum Materials Database: a relaxed B2Os crystal (GGA-PBE).

```
B2Os
1.0
3.453 0.000 0.000
0.000 3.979 0.000
0.000 0.000 4.005
B Os
4 2
Direct
0.500 0.740 0.135
0.500 0.260 0.135
0.000 0.240 0.865
0.000 0.760 0.865
0.000 0.000 0.361
0.500 0.500 0.639
```

Calculated values
Total energy: -8.1969 eV per atom